ZrTl2Cl | SCAN | single point on PBEsol structure

Summary:
The excess energy over the best structure of this formula in the dataset comes out at 113.9 meV/atom. The value obtained for the total magnetization is 0.00 μB per formula unit. The calculation puts the uncorrected formation energy at -0.55 eV/atom.

Cell: 3.2857 3.2857 10.4899 Å, 90.00 90.00 119.02°
Element x y z (fractional)
Cl  0.5000  0.5000  0.2998
Zr  0.0000  0.0000  0.4845
Tl  0.5000  0.5000  0.7236
Tl  0.0000  0.0000  0.9920